[1]
Density functional theory data (PBE) for PrHo5Er5 after structural relaxation.

Cell lengths 6.045, 6.045, 11.468 Å; angles 90.00, 90.00, 120.00 degrees
Element x y z (fractional)
Pr  0.333  0.667  0.000
Ho  0.335  0.168  0.500
Ho  0.000  0.000  0.264
Ho  0.832  0.665  0.500
Ho  0.832  0.168  0.500
Ho  0.000  0.000  0.736
Er  0.667  0.333  0.160
Er  0.667  0.333  0.840
Er  0.333  0.667  0.328
Er  0.333  0.667  0.672
Er  0.000  0.000  0.000

Properties
Total magnetic moment: 0.00 Bohr magnetons per cell
Theoretical density: 8.25 g cm⁻³
Formation energy from the elements: 0.32 eV per atom

[2]
Density functional theory data (PBE) for NaInS2O after structural relaxation.

Cell lengths 4.862, 6.187, 4.862 Å; angles 90.00, 90.00, 90.00 degrees
Element x y z (fractional)
Na  0.000  0.000  0.000
S  0.000  0.000  0.500
S  0.500  0.000  0.000
O  0.500  0.500  0.500
In  0.000  0.500  0.000

Properties
Total magnetic moment: 2.37 Bohr magnetons per cell
Theoretical density: 2.47 g cm⁻³
Formation energy (no corrections): 0.865 eV/atom

[3]
Density functional theory data (PBE) for CuTc2Se after structural relaxation.

Cell lengths 3.853, 2.979, 5.460 Å; angles 70.64, 90.00, 90.00 degrees
Element x y z (fractional)
Cu  0.500  0.250  0.250
Se  0.500  0.750  0.750
Tc  0.000  0.862  0.996
Tc  0.000  0.638  0.504

Properties
Total magnetic moment: 0.00 Bohr magnetons per cell
Theoretical density: 9.51 g cm⁻³
Formation energy (no corrections): 0.415 eV/atom

[4]
Density functional theory data (PBE) for PmSmTe2 after structural relaxation.

Cell lengths 3.844, 5.440, 5.440 Å; angles 90.00, 90.00, 90.00 degrees
Element x y z (fractional)
Te  0.000  0.000  0.500
Te  0.000  0.500  0.000
Sm  0.500  0.000  0.000
Pm  0.500  0.500  0.500

Properties
Energy above the most stable polymorph in this dataset: 0.456 eV/f.u.
Total magnetic moment: 0.00 Bohr magnetons per cell
Theoretical density: 8.03 g cm⁻³
Formation energy (no corrections): -1.289 eV/atom

[5]
Density functional theory data (PBE) for ZrPa2Pd9 after structural relaxation.

Cell lengths 4.140, 4.140, 12.297 Å; angles 90.00, 90.00, 90.00 degrees
Element x y z (fractional)
Zr  0.000  0.000  0.000
Pa  0.000  0.000  0.328
Pa  0.000  0.000  0.672
Pd  0.500  0.500  0.000
Pd  0.500  0.500  0.330
Pd  0.500  0.500  0.670
Pd  0.500  0.000  0.161
Pd  0.500  0.000  0.500
Pd  0.500  0.000  0.839
Pd  0.000  0.500  0.161
Pd  0.000  0.500  0.500
Pd  0.000  0.500  0.839

Properties
Total magnetic moment: 2.02 Bohr magnetons per cell
Theoretical density: 11.91 g cm⁻³
Formation energy from the elements: -0.70 eV per atom

[6]
Density functional theory data (PBE) for AcTbW2N6 after structural relaxation.

Cell lengths 6.211, 7.402, 7.402 Å; angles 85.94, 77.75, 77.75 degrees
Element x y z (fractional)
Ac  0.250  0.310  0.690
Ac  0.750  0.690  0.310
Tb  0.250  0.912  0.088
Tb  0.750  0.088  0.912
W  0.226  0.803  0.622
W  0.274  0.378  0.197
W  0.774  0.197  0.378
W  0.726  0.622  0.803
N  0.139  0.992  0.791
N  0.361  0.209  0.008
N  0.861  0.008  0.209
N  0.639  0.791  0.992
N  0.325  0.888  0.391
N  0.175  0.609  0.112
N  0.675  0.112  0.609
N  0.825  0.391  0.888
N  0.988  0.667  0.628
N  0.512  0.372  0.333
N  0.012  0.333  0.372
N  0.488  0.628  0.667

Properties
Total magnetic moment: 0.00 Bohr magnetons per cell
Theoretical density: 8.56 g cm⁻³
Formation energy (no corrections): -1.029 eV/atom

[7]
Density functional theory data (PBE) for RbTeF6 after structural relaxation.

Cell lengths 5.325, 5.325, 5.424 Å; angles 81.27, 81.27, 94.12 degrees
Element x y z (fractional)
Rb  0.500  0.500  0.500
Te  0.000  0.000  0.000
F  0.089  0.737  0.263
F  0.737  0.089  0.263
F  0.263  0.911  0.737
F  0.911  0.263  0.737
F  0.257  0.257  0.066
F  0.743  0.743  0.934

Properties
Energy above the most stable polymorph in this dataset: 0.000 eV/f.u.
Total magnetic moment: 0.96 Bohr magnetons per cell
Theoretical density: 3.63 g cm⁻³
Formation energy (no corrections): -2.274 eV/atom

[8]
Density functional theory data (PBE) for TaTeIr4 after structural relaxation.

Cell lengths 5.255, 5.255, 5.255 Å; angles 60.00, 60.00, 60.00 degrees
Element x y z (fractional)
Ta  0.750  0.750  0.750
Te  0.000  0.000  0.000
Ir  0.873  0.376  0.376
Ir  0.376  0.376  0.873
Ir  0.376  0.873  0.376
Ir  0.376  0.376  0.376

Properties
Total magnetic moment: 0.00 Bohr magnetons per cell
Theoretical density: 17.44 g cm⁻³
Formation energy (no corrections): 0.300 eV/atom

Which of these has the highest theoretical density?
TaTeIr4